A geometry-optimized Mn2CoRe structure, computed with PBE.

Uncorrected energy, eV per atom: -8.793
Total moment, μB per formula unit: 5.15
Calculated formation energy, eV per atom: 0.68

CIF file:
```
data_Mn2CoRe
_chemical_formula_sum 'Mn4 Co2 Re2'
_space_group_name_H-M_alt 'I m m m'
_space_group_IT_number 71
_space_group_name_Hall '-I 2 2'
_cell_length_a 2.566
_cell_length_b 4.389
_cell_length_c 9.466
_cell_angle_alpha 90.00
_cell_angle_beta 90.00
_cell_angle_gamma 90.00
loop_
_atom_site_label
_atom_site_fract_x
_atom_site_fract_y
_atom_site_fract_z
_atom_site_occupancy
Mn1 0.000 0.000 0.242 1
Co1 0.000 0.000 0.000 1
Re1 0.000 0.000 0.500 1
```

***

A geometry-optimized Ce8IrOs3I4 structure, computed with PBE.

Uncorrected energy, eV per atom: -6.708
Total moment, μB per formula unit: 5.21
Formation energy (no corrections), eV per formula unit: -11.10

CIF file:
```
data_Ce8IrOs3I4
_chemical_formula_sum 'Ce24 Ir3 Os9 I12'
_space_group_name_H-M_alt 'R -3 m'
_space_group_IT_number 166
_space_group_name_Hall '-R 3 2"'
_cell_length_a 8.2742
_cell_length_b 8.2742
_cell_length_c 23.8533
_cell_angle_alpha 90.00
_cell_angle_beta 90.00
_cell_angle_gamma 120.00
loop_
_atom_site_label
_atom_site_fract_x
_atom_site_fract_y
_atom_site_fract_z
_atom_site_occupancy
Ce1 0.0000 0.0000 0.2280 1
Ce2 0.0038 0.5019 0.7720 1
Ir1 0.0000 0.0000 0.5000 1
Os1 0.0000 0.5000 0.5000 1
I1 0.0000 0.0000 0.0000 1
I2 0.0000 0.5000 0.0000 1
```

***

A geometry-optimized Er2Be3CuPt4 structure, computed with PBE.

Uncorrected energy, eV per atom: -5.716
Total moment, μB per formula unit: 0.00
Calculated formation energy, eV per atom: -0.86

CIF file:
```
data_Er2Be3CuPt4
_chemical_formula_sum 'Er2 Be3 Cu1 Pt4'
_space_group_name_H-M_alt 'P -4 m 2'
_space_group_IT_number 115
_space_group_name_Hall 'P -4 -2'
_cell_length_a 3.966
_cell_length_b 3.966
_cell_length_c 9.974
_cell_angle_alpha 90.00
_cell_angle_beta 90.00
_cell_angle_gamma 90.00
loop_
_atom_site_label
_atom_site_fract_x
_atom_site_fract_y
_atom_site_fract_z
_atom_site_occupancy
Er1 0.000 0.500 0.247 1
Be1 0.000 0.500 0.879 1
Be2 0.500 0.500 0.500 1
Cu1 0.000 0.000 0.500 1
Pt1 0.000 0.000 0.000 1
Pt2 0.000 0.500 0.650 1
Pt3 0.500 0.500 0.000 1
```

***

A geometry-optimized Tb2MgSi2Ir5 structure, computed with PBE.

Uncorrected energy, eV per atom: -7.413
Total moment, μB per formula unit: 0.00
Formation energy (no corrections), eV per formula unit: -8.12

CIF file:
```
data_Tb2MgSi2Ir5
_chemical_formula_sum 'Tb4 Mg2 Si4 Ir10'
_space_group_name_H-M_alt 'P 4/m b m'
_space_group_IT_number 127
_space_group_name_Hall '-P 4 2ab'
_cell_length_a 9.846
_cell_length_b 9.846
_cell_length_c 3.477
_cell_angle_alpha 90.00
_cell_angle_beta 90.00
_cell_angle_gamma 90.00
loop_
_atom_site_label
_atom_site_fract_x
_atom_site_fract_y
_atom_site_fract_z
_atom_site_occupancy
Tb1 0.175 0.325 0.000 1
Mg1 0.000 0.000 0.000 1
Si1 0.125 0.625 0.000 1
Ir1 0.000 0.500 0.500 1
Ir2 0.068 0.785 0.500 1
```

***

A geometry-optimized Tb3ReB7 structure, computed with PBE.

Uncorrected energy, eV per atom: -7.234
Total moment, μB per formula unit: 0.01
Calculated formation energy, eV per atom: -0.59

CIF file:
```
data_Tb3ReB7
_chemical_formula_sum 'Tb12 Re4 B28'
_space_group_name_H-M_alt 'C m c m'
_space_group_IT_number 63
_space_group_name_Hall '-C 2c 2'
_cell_length_a 3.553
_cell_length_b 15.890
_cell_length_c 9.392
_cell_angle_alpha 90.00
_cell_angle_beta 90.00
_cell_angle_gamma 90.00
loop_
_atom_site_label
_atom_site_fract_x
_atom_site_fract_y
_atom_site_fract_z
_atom_site_occupancy
Tb1 0.000 0.105 0.060 1
Tb2 0.000 0.242 0.750 1
Re1 0.000 0.053 0.750 1
B1 0.000 0.273 0.033 1
B2 0.000 0.368 0.151 1
B3 0.000 0.459 0.750 1
B4 0.000 0.479 0.096 1
```

***

A geometry-optimized PmY2Tc structure, computed with PBE.

ΔE to the lowest computed polymorph, eV per atom: 0.103
Uncorrected energy, eV per atom: -6.969
Total moment, μB per formula unit: 0.00
Calculated formation energy, eV per atom: 0.04

CIF file:
```
data_PmY2Tc
_chemical_formula_sum 'Pm1 Y2 Tc1'
_space_group_name_H-M_alt 'P 4/m m m'
_space_group_IT_number 123
_space_group_name_Hall '-P 4 2'
_cell_length_a 3.470
_cell_length_b 3.470
_cell_length_c 9.113
_cell_angle_alpha 90.00
_cell_angle_beta 90.00
_cell_angle_gamma 90.00
loop_
_atom_site_label
_atom_site_fract_x
_atom_site_fract_y
_atom_site_fract_z
_atom_site_occupancy
Pm1 0.000 0.000 0.000 1
Y1 0.500 0.500 0.318 1
Tc1 0.000 0.000 0.500 1
```

***

> Among the records above, which one has the lowest uncorrected energy?

Mn2CoRe

***

> Look up the uncorrected energy of the sixth one.

-6.969 eV per atom